No. 1
First-principles (PBE-GGA) data for crystalline Tm3HfPd12 at its relaxed geometry, as listed in Alexandria.

a b c (Å): 4.0745 4.0745 16.2745
angles (deg): 90.00 90.00 90.00
Atoms (fractional coordinates):
Tm: 0.0000 0.0000 0.0000
Tm: 0.0000 0.0000 0.2520
Tm: 0.0000 0.0000 0.7480
Hf: 0.0000 0.0000 0.5000
Pd: 0.0000 0.5000 0.1268
Pd: 0.0000 0.5000 0.3810
Pd: 0.0000 0.5000 0.6190
Pd: 0.0000 0.5000 0.8732
Pd: 0.5000 0.0000 0.1268
Pd: 0.5000 0.0000 0.3810
Pd: 0.5000 0.0000 0.6190
Pd: 0.5000 0.0000 0.8732
Pd: 0.5000 0.5000 0.0000
Pd: 0.5000 0.5000 0.2538
Pd: 0.5000 0.5000 0.5000
Pd: 0.5000 0.5000 0.7462

V: 270 Å³ per cell
Energy of formation: -0.92 eV per atom

No. 2
First-principles (PBE-GGA) data for crystalline LaTaTl2 at its relaxed geometry, as listed in Alexandria.

a b c (Å): 5.5651 5.5651 6.0054
angles (deg): 99.95 99.95 34.27
Atoms (fractional coordinates):
La: 0.0000 0.0000 0.0000
Ta: 0.5000 0.5000 0.5000
Tl: 0.2393 0.2393 0.7193
Tl: 0.7607 0.7607 0.2807

V: 103 Å³ per cell
Energy of formation: 0.29 eV per atom